TlInTeCl: relaxed, PBE.

Results
Symmetry: F-43m (216)
DFT total energy, Ry per atom: -0.218
N(E_F), states/eV/atom: 0.74
Density, g/cm³: 6.91

a = 7.7381 Å, b = 7.7381 Å, c = 7.7381 Å
α = 90.00°, β = 90.00°, γ = 90.00°
Element x y z (fractional)
Tl 0.0000 0.0000 0.0000
Tl 0.0000 0.5000 0.5000
Tl 0.5000 0.0000 0.5000
Tl 0.5000 0.5000 0.0000
In 0.0000 0.0000 0.5000
In 0.0000 0.5000 0.0000
In 0.5000 0.0000 0.0000
In 0.5000 0.5000 0.5000
Te 0.2500 0.2500 0.7500
Te 0.2500 0.7500 0.2500
Te 0.7500 0.2500 0.2500
Te 0.7500 0.7500 0.7500
Cl 0.2500 0.2500 0.2500
Cl 0.2500 0.7500 0.7500
Cl 0.7500 0.2500 0.7500
Cl 0.7500 0.7500 0.2500



NaI2O4: relaxed, PBE.

Results
Symmetry: P1 (1)
DFT total energy, Ry per atom: -0.291
Density, g/cm³: 3.64

a = 6.8079 Å, b = 6.9570 Å, c = 7.8743 Å
α = 69.84°, β = 64.44°, γ = 89.84°
Element x y z (fractional)
Na 0.0000 0.0000 0.0000
Na 0.2009 0.6152 0.5967
I 0.1196 0.2889 0.2875
I 0.5586 0.3074 0.7986
I 0.6083 0.3257 0.3097
I 0.6428 0.8072 0.7986
O 0.3650 0.4767 0.3573
O 0.3760 0.1024 0.8133
O 0.3908 0.5135 0.7836
O 0.3959 0.2007 0.1331
O 0.7297 0.4140 0.4644
O 0.8036 0.0098 0.8268
O 0.8315 0.6033 0.7703
O 0.9247 0.1379 0.2399



Pm4DyY7: relaxed, PBE.

Results
Symmetry: C2/m (12)
N(E_F), states/eV/atom: 1.79
Formation enthalpy at 0 K, eV per atom: 0.27
Excess energy over the best structure of this formula in the dataset, eV per atom: 0.191
Density, g/cm³: 5.52

a = 6.7632 Å, b = 6.7632 Å, c = 12.8911 Å
α = 114.69°, β = 114.69°, γ = 51.87°
Element x y z (fractional)
Pm 0.1417 0.1417 0.2767
Pm 0.2836 0.2836 0.8368
Pm 0.7164 0.7164 0.1632
Pm 0.8583 0.8583 0.7233
Dy 0.5000 0.5000 0.5000
Y 0.0000 0.0000 0.5000
Y 0.1323 0.1323 0.9935
Y 0.2891 0.2891 0.5770
Y 0.4284 0.4284 0.1932
Y 0.5716 0.5716 0.8068
Y 0.7109 0.7109 0.4230
Y 0.8677 0.8677 0.0065



SrScReIr2: relaxed, PBE.

Results
Symmetry: P4/mmm (123)
N(E_F), states/eV/atom: 0.93
Formation enthalpy at 0 K, eV per atom: 1.74
Density, g/cm³: 10.42

a = 4.7103 Å, b = 4.7103 Å, c = 5.0494 Å
α = 90.00°, β = 90.00°, γ = 90.00°
Element x y z (fractional)
Sr 0.0000 0.0000 0.0000
Sc 0.0000 0.0000 0.5000
Re 0.5000 0.5000 0.0000
Ir 0.0000 0.5000 0.5000
Ir 0.5000 0.0000 0.5000



Na4ErZr3S8: relaxed, PBE.

Results
Symmetry: R-3m (166)
DFT total energy, Ry per atom: -0.429
N(E_F), states/eV/atom: 0.45
Density, g/cm³: 3.96

a = 8.0546 Å, b = 8.0546 Å, c = 8.0546 Å
α = 55.51°, β = 55.51°, γ = 55.51°
Element x y z (fractional)
Na 0.0000 0.0000 0.0000
Na 0.0000 0.5000 0.5000
Na 0.5000 0.0000 0.5000
Na 0.5000 0.5000 0.0000
Er 0.5000 0.5000 0.5000
Zr 0.0000 0.0000 0.5000
Zr 0.0000 0.5000 0.0000
Zr 0.5000 0.0000 0.0000
S 0.2349 0.7456 0.7456
S 0.2414 0.2414 0.2414
S 0.2544 0.2544 0.7651
S 0.2544 0.7651 0.2544
S 0.7456 0.2349 0.7456
S 0.7456 0.7456 0.2349
S 0.7586 0.7586 0.7586
S 0.7651 0.2544 0.2544



SrLa2MgPt: relaxed, PBE.

Results
Symmetry: P4/mmm (123)
N(E_F), states/eV/atom: 1.38
Formation enthalpy at 0 K, eV per atom: -0.36
Excess energy over the best structure of this formula in the dataset, eV per atom: 0.064
Density, g/cm³: 5.02

a = 5.6537 Å, b = 5.6537 Å, c = 6.0526 Å
α = 90.00°, β = 90.00°, γ = 90.00°
Element x y z (fractional)
Sr 0.0000 0.0000 0.0000
La 0.0000 0.5000 0.5000
La 0.5000 0.0000 0.5000
Mg 0.5000 0.5000 0.0000
Pt 0.0000 0.0000 0.5000



NdTh4Tc2: relaxed, PBE.

Results
Symmetry: P2_1/m (11)
N(E_F), states/eV/atom: 1.13
Formation enthalpy at 0 K, eV per atom: -0.02
Density, g/cm³: 10.77

a = 7.8941 Å, b = 6.7388 Å, c = 7.9024 Å
α = 90.00°, β = 111.47°, γ = 90.00°
Element x y z (fractional)
Nd 0.0178 0.2500 0.1642
Nd 0.9822 0.7500 0.8358
Th 0.2493 0.5020 0.5990
Th 0.2493 0.9980 0.5990
Th 0.3165 0.7500 0.2340
Th 0.3828 0.2500 0.0253
Th 0.6172 0.7500 0.9747
Th 0.6835 0.2500 0.7660
Th 0.7507 0.0020 0.4010
Th 0.7507 0.4980 0.4010
Tc 0.0153 0.2500 0.7390
Tc 0.4235 0.2500 0.3800
Tc 0.5765 0.7500 0.6200
Tc 0.9847 0.7500 0.2610



HoTm5In3: relaxed, PBE.

Results
Symmetry: P6_3/mcm (193)
N(E_F), states/eV/atom: 0.98
Formation enthalpy at 0 K, eV per atom: -0.35
Density, g/cm³: 9.17

a = 9.2235 Å, b = 9.2235 Å, c = 6.6563 Å
α = 90.00°, β = 90.00°, γ = 120.00°
Element x y z (fractional)
Ho 0.0000 0.0000 0.0000
Ho 0.0000 0.0000 0.5000
Tm 0.0000 0.3337 0.2500
Tm 0.0000 0.6663 0.7500
Tm 0.3333 0.6667 0.0000
Tm 0.3333 0.6667 0.5000
Tm 0.3337 0.0000 0.2500
Tm 0.3337 0.3337 0.7500
Tm 0.6663 0.0000 0.7500
Tm 0.6663 0.6663 0.2500
Tm 0.6667 0.3333 0.0000
Tm 0.6667 0.3333 0.5000
In 0.0000 0.3336 0.7500
In 0.0000 0.6664 0.2500
In 0.3336 0.0000 0.7500
In 0.3336 0.3336 0.2500
In 0.6664 0.0000 0.2500
In 0.6664 0.6664 0.7500